Record 1
Here is crystalline Ca2AlAs at its relaxed geometry from Alexandria. Energies are from PBE.

Cell lengths 7.378, 7.378, 7.378 Å; angles 90.00, 90.00, 90.00 degrees
Positions (direct):
Ca  0.250  0.250  0.250
Ca  0.250  0.250  0.750
Ca  0.250  0.750  0.250
Ca  0.250  0.750  0.750
Ca  0.750  0.250  0.250
Ca  0.750  0.250  0.750
Ca  0.750  0.750  0.250
Ca  0.750  0.750  0.750
Al  0.000  0.000  0.000
Al  0.000  0.500  0.500
Al  0.500  0.000  0.500
Al  0.500  0.500  0.000
As  0.000  0.000  0.500
As  0.000  0.500  0.000
As  0.500  0.000  0.000
As  0.500  0.500  0.500

Summary:
E_form (meV per atom): -446
E above lowest polymorph (meV/atom): 240
Energy (eV/cell): -56.7

***

Record 2
Here is crystalline ZrCdRu2 at its relaxed geometry from Alexandria. Energies are from PBE.

Cell lengths 6.542, 6.542, 6.542 Å; angles 90.00, 90.00, 90.00 degrees
Positions (direct):
Zr  0.000  0.000  0.000
Zr  0.000  0.500  0.500
Zr  0.500  0.000  0.500
Zr  0.500  0.500  0.000
Cd  0.250  0.250  0.250
Cd  0.250  0.750  0.750
Cd  0.750  0.250  0.750
Cd  0.750  0.750  0.250
Ru  0.000  0.000  0.500
Ru  0.000  0.500  0.000
Ru  0.250  0.250  0.750
Ru  0.250  0.750  0.250
Ru  0.500  0.000  0.000
Ru  0.500  0.500  0.500
Ru  0.750  0.250  0.250
Ru  0.750  0.750  0.750

Summary:
E_form (meV per atom): 219
Energy (eV/cell): -108.5